LaTa2Se: optimized geometry, PBE.

Computed properties:
* E_form (uncorrected): -0.8 eV per formula unit
* total DFT energy (no corrections): -8.2293 eV per atom

```
data_LaTa2Se
_chemical_formula_sum 'La1 Ta2 Se1'
_cell_length_a 3.440
_cell_length_b 4.427
_cell_length_c 6.177
_cell_angle_alpha 90.00
_cell_angle_beta 102.88
_cell_angle_gamma 90.00
_symmetry_space_group_name_H-M 'P 1 m 1'
_symmetry_Int_Tables_number 6
loop_
_symmetry_equiv_pos_as_xyz
'x,y,z'
'x,-y,z'
loop_
_atom_site_label
_atom_site_type_symbol
_atom_site_fract_x
_atom_site_fract_y
_atom_site_fract_z
La1 La 0.000 0.000 0.000
Ta1 Ta 0.211 0.500 0.538
Ta2 Ta 0.684 0.000 0.488
Se1 Se 0.578 0.500 0.200
```